A relaxed PuScGa crystal, computed with GGA-PBE.

Values from the calculation:
SG = P6_3/mmc (194)
ΔE_f = -0.35 eV per atom
density = 9.1 g cm⁻³

Structure (extended XYZ):
```
6
Lattice="-0.8025 2.2797 -4.3848 -0.7845 -4.9252 0.4419 -5.6955 1.0496 1.5881" Properties=species:S:1:pos:R:3 pbc="T T T"
Pu -3.2400 -1.9378 1.0150
Sc -4.6699 0.7257 -0.1964
Ga -5.4604 -1.7972 -1.3639
Sc -2.6126 -2.3215 -2.1583
Pu -0.3922 -2.4626 0.2210
Ga -1.8221 0.2014 -0.9909
```

A relaxed PaMo2Se2S4 crystal, computed with GGA-PBE.

Values from the calculation:
ΔE_f (raw) = -0.76 eV per atom
SG = P3m1 (156)
density = 5.6 g cm⁻³

Structure (extended XYZ):
```
9
Lattice="-3.0344 0.8203 1.2444 0.8432 -3.2501 -0.3936 8.0276 -0.3126 19.7809" Properties=species:S:1:pos:R:3 pbc="T T T"
Mo 3.5192 -0.7414 13.6622
Mo 7.8568 -0.3060 19.3600
S 4.6949 -0.1828 11.5687
S 5.8277 -0.2270 14.3601
Se 0.1166 -0.6089 5.2778
S 5.5483 -0.8204 18.6620
Pa 2.6087 -0.1016 6.4281
Se 1.6174 -0.6673 8.9760
S -1.3468 -0.5519 1.6719
```

A relaxed Sn2BiPb crystal, computed with GGA-PBE.

Values from the calculation:
SG = P4/mmm (123)
ΔE_f = 0.07 eV per atom
density = 9.0 g cm⁻³

Structure (extended XYZ):
```
4
Lattice="-1.7499 -4.6914 -0.0113 2.5250 -0.9518 4.0976 -3.8413 1.4263 2.6984" Properties=species:S:1:pos:R:3 pbc="T T T"
Bi -0.8750 -2.3457 -0.0057
Sn 1.2625 -0.4759 2.0488
Pb -1.5331 -2.1084 3.3923
Sn -1.9207 0.7132 1.3492
```

A relaxed Rb3Fe2Cl8 crystal, computed with GGA-PBE.

Values from the calculation:
ΔE_f (raw) = -1.38 eV per atom
SG = R-3m (166)
density = 2.6 g cm⁻³

Structure (extended XYZ):
```
13
Lattice="6.9048 0.0000 2.3158 3.0640 6.1877 2.3158 0.4742 0.2943 10.0377" Properties=species:S:1:pos:R:3 pbc="T T T"
Cl 7.1838 4.4590 12.9353
Rb 0.0000 0.0000 0.0000
Cl 5.9028 1.5050 5.3031
Cl 3.2591 2.0230 1.7340
Cl 6.4749 1.8600 9.3662
Cl 4.5401 4.9770 9.3662
Cl 2.9966 1.8600 8.1996
Rb 8.2046 5.0926 9.8916
Rb 2.2383 1.3893 4.7777
Fe 6.0123 3.7319 4.9768
Cl 3.9681 4.6220 5.3031
Cl 7.4463 4.6220 6.4697
Fe 4.4307 2.7501 9.6925
```

A relaxed CeTh2Cd8 crystal, computed with GGA-PBE.

Values from the calculation:
SG = C2/m (12)
ΔE_f = -0.12 eV per atom
density = 8.8 g cm⁻³

Structure (extended XYZ):
```
11
Lattice="-0.1699 -0.4461 -5.3757 6.4375 -1.4368 -0.0907 -4.8534 -6.8067 3.4306" Properties=species:S:1:pos:R:3 pbc="T T T"
Cd -1.6761 -7.6382 2.0258
Cd 3.0904 -1.0513 -4.0616
Cd 0.3827 -6.4628 -2.1837
Ce -0.0850 -0.2230 -2.6879
Th -1.0562 -4.7594 0.4284
Cd -0.7747 -3.3307 -2.4081
Cd 1.0315 -2.2267 0.1479
Cd 2.1889 -5.3588 0.3723
Cd -3.1475 -5.6754 -2.1396
Cd 4.5617 -3.0141 0.1038
Th 2.4705 -3.9301 -2.4642
```

A relaxed Ac2TlPbO5 crystal, computed with GGA-PBE.

Values from the calculation:
ΔE_f (raw) = -2.04 eV per atom
SG = I4/mcm (140)
density = 9.0 g cm⁻³

Structure (extended XYZ):
```
18
Lattice="-3.8283 6.1556 0.9726 0.4739 -0.8506 7.2488 7.1910 0.7702 -4.0696" Properties=species:S:1:pos:R:3 pbc="T T T"
O 0.0000 0.0000 0.0000
Ac -2.8152 4.4664 5.7293
Ac -0.5392 0.8386 2.4922
O 0.0174 2.9088 1.3835
Ac -0.8351 1.2701 6.2520
Pb 2.9939 1.2860 3.6450
Pb 0.8428 4.7891 0.5069
Tl 2.7569 1.7113 0.0206
O -1.6772 2.6525 4.1107
O 4.5617 2.0360 -2.7058
O 1.0861 1.1461 4.7966
O 5.6304 0.2734 0.7073
O -1.7937 5.8017 3.4446
O -0.7251 4.0391 6.8577
O 3.8192 3.1664 2.7684
Tl 1.0797 4.3638 4.1313
O 2.7505 4.9290 -0.6447
Ac -2.5193 4.0348 1.9695
```

A relaxed CeSc2Rh crystal, computed with GGA-PBE.

Values from the calculation:
SG = Cmcm (63)
ΔE_f = -0.45 eV per atom
density = 6.0 g cm⁻³

Structure (extended XYZ):
```
8
Lattice="-2.3660 2.6968 -0.1243 0.4983 -2.2098 -5.5687 -6.6734 -5.7768 1.6952" Properties=species:S:1:pos:R:3 pbc="T T T"
Sc -1.8079 0.7323 -1.5349
Ce -3.4411 -0.8384 -4.4904
Sc -4.2801 -1.4078 -0.9069
Sc -4.2610 -3.8821 -3.0908
Rh -2.0064 -1.8688 -2.3537
Sc -6.7332 -6.0222 -2.4628
Ce -5.1000 -4.4515 0.4926
Rh -6.5347 -3.4211 -1.6440
```

A relaxed Pm4ZnCu crystal, computed with GGA-PBE.

Values from the calculation:
SG = P4/mmm (123)
ΔE_f = 0.07 eV per atom
density = 6.6 g cm⁻³

Structure (extended XYZ):
```
6
Lattice="-4.2858 -1.7941 1.8284 1.7399 -4.6562 -0.4908 2.6927 0.3056 6.6191" Properties=species:S:1:pos:R:3 pbc="T T T"
Pm 0.2727 -5.4636 2.1131
Pm 2.8558 -2.0928 4.6658
Pm 1.5833 -5.3181 5.3347
Zn 1.4046 -2.9102 7.2785
Cu 3.0708 -4.4931 2.8117
Pm 1.5464 -2.2384 1.4451
```

A relaxed Y6In2Ni crystal, computed with GGA-PBE.

Values from the calculation:
SG = P2_1/c (14)
ΔE_f = -0.25 eV per atom
density = 5.3 g cm⁻³

Structure (extended XYZ):
```
18
Lattice="6.1381 0.0000 0.3613 0.0000 8.5498 0.0000 -0.3080 0.0000 9.8603" Properties=species:S:1:pos:R:3 pbc="T T T"
In 0.4001 5.3109 2.5008
In 5.4300 3.2389 7.7208
Y 3.6204 1.4919 5.6815
Ni 3.0690 4.2749 0.1806
In 3.3151 7.5138 7.6115
Y 2.2096 7.0578 4.5401
Y 3.6158 4.0376 2.7639
In 2.5150 1.0360 2.6100
Ni -0.1540 0.0000 4.9301
Y 2.2143 4.5122 7.4577
Y 0.3928 0.2373 7.5134
Y 5.2531 5.8353 5.7969
Y 5.1247 5.7668 9.6509
Y 3.4920 1.5604 9.5354
Y 5.4373 8.3125 2.7082
Y 0.7054 2.7830 0.5707
Y 0.5770 2.7145 4.4247
Y 2.3380 6.9894 0.6861
```

A relaxed ScRhAu2 crystal, computed with GGA-PBE.

Values from the calculation:
SG = R-3m (166)
ΔE_f = -0.04 eV per atom
density = 12.4 g cm⁻³

Structure (extended XYZ):
```
4
Lattice="-8.3750 0.0116 -3.3255 -8.7818 -1.8183 -0.8791 -8.9078 1.2436 -0.5512" Properties=species:S:1:pos:R:3 pbc="T T T"
Sc -19.5483 -0.4223 -3.5668
Au -13.0014 -0.2809 -2.3723
Au -0.0312 -0.0007 -0.0057
Rh -6.5163 -0.1408 -1.1890
```

A relaxed Li2PuAgBr8 crystal, computed with GGA-PBE.

Values from the calculation:
ΔE_f (raw) = -1.06 eV per atom
SG = P-1 (2)
density = 4.4 g cm⁻³

Structure (extended XYZ):
```
12
Lattice="6.9460 -0.7331 -0.2077 -0.7576 6.8393 0.1992 -0.2325 0.2601 8.1575" Properties=species:S:1:pos:R:3 pbc="T T T"
Br 2.2401 1.6015 0.1158
Br 0.2354 5.6798 6.2933
Br 3.7158 4.7649 8.0331
Br 4.0739 4.4174 4.0535
Li 3.3508 2.8601 6.0501
Br 5.5040 1.2615 6.1929
Br 5.7205 0.6866 1.8557
Ag -0.1162 0.1301 4.0787
Br 1.8820 1.9490 4.0954
Br 0.4519 5.1049 1.9560
Li 2.6051 3.5063 2.0988
Pu 0.0000 0.0000 0.0000
```

A relaxed Bi4Pd9Au2 crystal, computed with GGA-PBE.

Values from the calculation:
SG = P-3m1 (164)
ΔE_f = -0.20 eV per atom
density = 12.9 g cm⁻³

Structure (extended XYZ):
```
15
Lattice="4.6900 0.0000 0.0000 -2.3450 4.0617 0.0000 0.0000 0.0000 14.8051" Properties=species:S:1:pos:R:3 pbc="T T T"
Pd 2.3450 1.3539 6.3212
Pd 0.0000 0.0000 13.3509
Bi 2.3450 1.3539 9.1312
Au 2.3450 1.3539 3.4697
Bi 0.0000 2.7078 5.6740
Bi 2.3450 1.3539 12.6752
Pd 0.0000 0.0000 1.4542
Pd 0.0000 0.0000 4.4698
Au 0.0000 2.7078 11.3354
Pd 0.0000 0.0000 10.3354
Bi 0.0000 2.7078 2.1299
Pd 0.0000 0.0000 7.4026
Pd 0.0000 2.7078 14.2362
Pd 2.3450 1.3539 0.5689
Pd 0.0000 2.7078 8.4839
```

A relaxed Hf2PaSe crystal, computed with GGA-PBE.

Values from the calculation:
ΔE_f (raw) = -0.04 eV per atom
SG = R-3m (166)
density = 12.2 g cm⁻³

Structure (extended XYZ):
```
4
Lattice="-1.1378 -0.5553 2.9790 0.2808 -2.9434 1.3171 8.5728 1.4074 5.2952" Properties=species:S:1:pos:R:3 pbc="T T T"
Hf 1.8025 -2.7260 5.4560
Se 3.8578 -1.0457 4.7957
Pa 0.0000 0.0000 0.0000
Hf 5.9132 0.6347 4.1354
```

A relaxed YZnRe2 crystal, computed with GGA-PBE.

Values from the calculation:
SG = F-43m (216)
ΔE_f = 0.25 eV per atom
density = 12.7 g cm⁻³

Structure (extended XYZ):
```
4
Lattice="4.6015 -0.0121 0.0000 0.0140 4.6015 0.0000 -2.3078 -2.2947 3.2531" Properties=species:S:1:pos:R:3 pbc="T T T"
Zn 2.3008 -0.0060 1.6265
Re 0.0070 2.3008 1.6265
Re 0.0000 0.0000 0.0000
Y 2.3078 2.2947 0.0000
```

A relaxed CeMo4 crystal, computed with GGA-PBE.

Values from the calculation:
SG = Pm-3m (221)
ΔE_f = 1.95 eV per atom
density = 8.6 g cm⁻³

Structure (extended XYZ):
```
5
Lattice="-2.5343 2.9866 -2.5341 -3.5118 -3.0693 -0.1054 -1.7347 1.8503 3.9155" Properties=species:S:1:pos:R:3 pbc="T T T"
Ce -3.8904 0.8838 0.6380
Mo -3.0230 -0.0414 -1.3198
Mo -2.1345 2.4185 0.6907
Mo 0.0000 0.0000 0.0000
Mo -2.6232 -0.6095 1.9051
```

A relaxed BaNaLi2Pd crystal, computed with GGA-PBE.

Values from the calculation:
SG = P4/mmm (123)
ΔE_f = -0.05 eV per atom
density = 3.2 g cm⁻³

Structure (extended XYZ):
```
5
Lattice="5.1210 0.0000 0.0000 0.0000 5.1210 0.0000 0.0000 0.0000 5.5163" Properties=species:S:1:pos:R:3 pbc="T T T"
Pd 0.0000 0.0000 0.0000
Li 0.0000 2.5605 0.0000
Li 2.5605 0.0000 0.0000
Na 0.0000 0.0000 2.7582
Ba 2.5605 2.5605 2.7582
```

A relaxed Tb4PrY5 crystal, computed with GGA-PBE.

Values from the calculation:
SG = I4 (79)
ΔE_f = 0.30 eV per atom
density = 6.1 g cm⁻³

Structure (extended XYZ):
```
10
Lattice="6.3068 0.0000 0.0000 3.1534 7.2823 0.0000 3.1534 0.0000 7.2823" Properties=species:S:1:pos:R:3 pbc="T T T"
Y 5.9893 0.6326 2.7813
Pr 1.3941 0.0000 0.0000
Y 2.8359 4.5010 0.6326
Tb 2.8589 2.1971 2.9340
Tb 9.1657 5.0852 4.3483
Tb 6.0123 4.3483 2.1971
Y 9.1427 2.7813 6.6497
Tb 6.0123 2.9340 5.0852
Y 4.2720 0.0000 0.0000
Y 5.9893 6.6497 4.5010
```

A relaxed LiCaSb2 crystal, computed with GGA-PBE.

Values from the calculation:
ΔE_f (raw) = -0.60 eV per atom
SG = P4/nmm (129)
density = 4.7 g cm⁻³

Structure (extended XYZ):
```
8
Lattice="4.3831 0.0000 0.0000 0.0000 4.3831 0.0000 0.0000 0.0000 10.7365" Properties=species:S:1:pos:R:3 pbc="T T T"
Sb 0.0000 0.0000 5.3683
Li 0.0000 0.0000 0.0000
Sb 2.1916 2.1916 5.3683
Li 2.1916 2.1916 0.0000
Sb 0.0000 2.1916 9.0555
Ca 2.1916 0.0000 8.0342
Ca 0.0000 2.1916 2.7023
Sb 2.1916 0.0000 1.6811
```

A relaxed Tb2Pm6PrDy crystal, computed with GGA-PBE.

Values from the calculation:
SG = C2/c (15)
ΔE_f = 0.11 eV per atom
density = 7.3 g cm⁻³

Structure (extended XYZ):
```
20
Lattice="9.2554 -2.0413 -2.1184 0.8333 8.6690 -2.0230 0.8333 -2.3429 8.5881" Properties=species:S:1:pos:R:3 pbc="T T T"
Pm 2.0958 4.7362 2.5225
Pm 5.8676 5.1318 -1.6898
Dy 3.1471 1.6584 3.7111
Tb 5.4457 4.3634 3.4277
Pm 8.8261 -0.4514 1.9242
Pm 2.1943 4.4847 -1.4248
Pm 6.8220 -2.6106 3.3696
Tb 0.8485 2.0418 1.0184
Pm 6.7235 1.3246 3.7673
Pm 5.0543 -0.8470 6.1365
Pm 1.2399 -0.8582 6.1249
Pr 3.1471 7.8686 -2.2731
Pm 9.6819 5.1430 -1.6782
Pm 4.1984 2.9602 0.6794
Tb 10.0734 2.2430 3.4283
Pm 8.7276 -0.1998 5.8715
Pm 4.0999 6.8955 1.0771
Tb 5.4762 -0.0786 1.0190
Dy 7.7748 2.6265 0.7356
Pr 7.7748 -3.5838 6.7198
```

A relaxed Ce5H2S5 crystal, computed with GGA-PBE.

Values from the calculation:
SG = C2/m (12)
density = 5.6 g cm⁻³
calculated total energy = -6.30 eV/atom

Structure (extended XYZ):
```
12
Lattice="3.9130 0.0000 0.0000 -1.9565 6.5563 -0.2461 0.0000 -3.5147 10.1701" Properties=species:S:1:pos:R:3 pbc="T T T"
S 1.9565 1.8803 3.4141
H 1.9565 5.0314 1.8590
S 1.9565 1.9457 0.3542
S 0.0000 1.0960 9.5697
Ce 0.0000 -0.0288 4.0168
Ce 1.9565 3.0705 5.9071
Ce 0.0000 0.0000 0.0000
Ce 1.9565 -0.4010 7.9464
H 0.0000 -1.9897 8.0649
S 0.0000 1.1613 6.5098
S 1.9565 -1.7573 5.0850
Ce 0.0000 3.4427 1.9776
```

A relaxed Nd8GeP5 crystal, computed with GGA-PBE.

Values from the calculation:
SG = I-4 (82)
ΔE_f = -1.21 eV per atom
density = 6.5 g cm⁻³

Structure (extended XYZ):
```
14
Lattice="-5.2543 -2.2714 -5.1382 7.0256 -0.6995 -3.0527 -0.4909 -4.3761 6.3069" Properties=species:S:1:pos:R:3 pbc="T T T"
Nd 2.4560 -5.8840 -0.4377
Ge 1.8311 -4.1997 1.9192
P -1.5842 -5.3066 3.9728
P 1.4402 -3.6885 -5.5671
P 0.1195 -4.8659 -1.8121
Nd 1.6332 -2.6452 -2.8798
Nd -4.7577 -5.6078 -0.7176
Nd 4.6665 -0.8584 -2.8993
Nd -1.0599 -5.5201 1.1397
P -2.8726 -3.3237 0.5843
Nd 0.1961 -2.3438 0.2866
Nd -2.3921 -3.5136 -2.2707
Nd 4.3798 -3.0152 0.2428
P 2.5854 -0.8329 -0.3617
```

A relaxed Rb2TaBi2Se6 crystal, computed with GGA-PBE.

Values from the calculation:
ΔE_f (raw) = -0.73 eV per atom
SG = C2/m (12)
density = 5.6 g cm⁻³

Structure (extended XYZ):
```
11
Lattice="7.2078 0.0304 0.0345 -3.5361 6.2809 0.0345 -1.3440 -2.3101 8.0408" Properties=species:S:1:pos:R:3 pbc="T T T"
Se 0.4249 0.7303 2.5396
Bi -0.6426 3.0515 4.0549
Se -1.7308 0.7242 5.5543
Se 4.0585 3.2769 2.5555
Se 0.8427 5.1478 2.5555
Rb -1.6612 5.1901 0.0345
Se 1.4850 -1.1467 5.5543
Ta -0.6720 -1.1551 4.0204
Se 1.9029 3.2708 5.5702
Rb 5.3329 1.1211 0.0345
Bi 2.9704 0.9496 4.0549
```

A relaxed Pr3HoH crystal, computed with GGA-PBE.

Values from the calculation:
SG = Pm-3m (221)
density = 7.0 g cm⁻³
calculated total energy = -4.62 eV/atom

Structure (extended XYZ):
```
5
Lattice="5.1792 0.0000 0.0000 0.0000 5.1792 0.0000 0.0000 0.0000 5.1792" Properties=species:S:1:pos:R:3 pbc="T T T"
Pr 0.0000 0.0000 2.5896
Pr 2.5896 0.0000 0.0000
H 0.0000 0.0000 0.0000
Pr 0.0000 2.5896 0.0000
Ho 2.5896 2.5896 2.5896
```